Below is crystalline Tl2CuGeO at its relaxed geometry, with properties calculated at the PBE level.

Summary:
Magnetization ... 0.00 μB per atom
Crystal system ... tetragonal
D(E_F) ... 0.45 states/eV per atom
Symmetry ... P4/mmm, No. 123
E_form (uncorrected) ... -0.09 eV/atom

Cell and atoms, written as CIF:
```
data_Tl2CuGeO
_cell_length_a 5.4675
_cell_length_b 5.4675
_cell_length_c 3.5937
_cell_angle_alpha 90.00
_cell_angle_beta 90.00
_cell_angle_gamma 90.00
_symmetry_space_group_name_H-M 'P 1'
_symmetry_Int_Tables_number 1
loop_
_symmetry_equiv_pos_as_xyz
'x,y,z'
loop_
_atom_site_label
_atom_site_type_symbol
_atom_site_fract_x
_atom_site_fract_y
_atom_site_fract_z
_atom_site_occupancy
Tl1 Tl 0.0000 0.5000 0.0000 1
Tl2 Tl 0.5000 0.0000 0.0000 1
Cu1 Cu 0.0000 0.0000 0.5000 1
Ge1 Ge 0.5000 0.5000 0.5000 1
O1 O 0.0000 0.0000 0.0000 1
```

Below is crystalline Tm2CuGe4O12 at its relaxed geometry, with properties calculated at the PBE level.

Summary:
Magnetization ... 0.05 μB per atom
Crystal system ... triclinic
Symmetry ... P-1, No. 2
E_form (uncorrected) ... -2.09 eV/atom

Cell and atoms, written as CIF:
```
data_Tm2CuGe4O12
_cell_length_a 4.9911
_cell_length_b 7.2040
_cell_length_c 7.9283
_cell_angle_alpha 66.48
_cell_angle_beta 87.02
_cell_angle_gamma 76.92
_symmetry_space_group_name_H-M 'P 1'
_symmetry_Int_Tables_number 1
loop_
_symmetry_equiv_pos_as_xyz
'x,y,z'
loop_
_atom_site_label
_atom_site_type_symbol
_atom_site_fract_x
_atom_site_fract_y
_atom_site_fract_z
_atom_site_occupancy
Tm1 Tm 0.0457 0.2697 0.4508 1
Tm2 Tm 0.9543 0.7303 0.5492 1
Cu1 Cu 0.0000 0.5000 0.0000 1
Ge1 Ge 0.4164 0.8831 0.7941 1
Ge2 Ge 0.4606 0.6659 0.2278 1
Ge3 Ge 0.5394 0.3341 0.7722 1
Ge4 Ge 0.5836 0.1169 0.2059 1
O1 O 0.2024 0.9258 0.6090 1
O2 O 0.2224 0.5665 0.3912 1
O3 O 0.2473 0.5105 0.7947 1
O4 O 0.2582 0.2776 0.1963 1
O5 O 0.2689 0.8120 0.0130 1
O6 O 0.4129 0.1595 0.7026 1
O7 O 0.5871 0.8405 0.2974 1
O8 O 0.7311 0.1880 0.9870 1
O9 O 0.7418 0.7224 0.8037 1
O10 O 0.7527 0.4895 0.2053 1
O11 O 0.7776 0.4335 0.6088 1
O12 O 0.7976 0.0742 0.3910 1
```

Below is crystalline UCuGeO6 at its relaxed geometry, with properties calculated at the PBE level.

Summary:
Magnetization ... 0.11 μB per atom
Crystal system ... trigonal
D(E_F) ... 0.50 states/eV per atom
Symmetry ... P-31c, No. 163
E_form (uncorrected) ... -1.81 eV/atom

Cell and atoms, written as CIF:
```
data_UCuGeO6
_cell_length_a 5.2555
_cell_length_b 5.2555
_cell_length_c 8.9292
_cell_angle_alpha 90.00
_cell_angle_beta 90.00
_cell_angle_gamma 120.00
_symmetry_space_group_name_H-M 'P 1'
_symmetry_Int_Tables_number 1
loop_
_symmetry_equiv_pos_as_xyz
'x,y,z'
loop_
_atom_site_label
_atom_site_type_symbol
_atom_site_fract_x
_atom_site_fract_y
_atom_site_fract_z
_atom_site_occupancy
U1 U 0.3333 0.6667 0.2500 1
U2 U 0.6667 0.3333 0.7500 1
Cu1 Cu 0.0000 0.0000 0.0000 1
Cu2 Cu 0.0000 0.0000 0.5000 1
Ge1 Ge 0.3333 0.6667 0.7500 1
Ge2 Ge 0.6667 0.3333 0.2500 1
O1 O 0.0244 0.3577 0.6322 1
O2 O 0.0244 0.6668 0.8678 1
O3 O 0.3332 0.3577 0.8678 1
O4 O 0.3332 0.9756 0.6322 1
O5 O 0.3577 0.0244 0.1322 1
O6 O 0.3577 0.3332 0.3678 1
O7 O 0.6423 0.6668 0.6322 1
O8 O 0.6423 0.9756 0.8678 1
O9 O 0.6668 0.0244 0.3678 1
O10 O 0.6668 0.6423 0.1322 1
O11 O 0.9756 0.3332 0.1322 1
O12 O 0.9756 0.6423 0.3678 1
```